# 1
Density functional theory data (PBE) for crystalline GePdPt5 at its relaxed geometry.

Results
Final energy: -0.20940 hartree per atom

a = 7.801 Å, b = 7.801 Å, c = 7.060 Å
α = 49.07°, β = 49.07°, γ = 75.01°
Atoms (fractional coordinates):
Ge: 0.538 0.462 0.250
Ge: 0.462 0.538 0.750
Pd: 0.000 0.000 0.000
Pd: 0.000 0.000 0.500
Pt: 0.646 0.814 0.129
Pt: 0.177 0.561 0.600
Pt: 0.814 0.646 0.629
Pt: 0.790 0.210 0.250
Pt: 0.439 0.823 0.900
Pt: 0.561 0.177 0.100
Pt: 0.210 0.790 0.750
Pt: 0.186 0.354 0.371
Pt: 0.823 0.439 0.400
Pt: 0.354 0.186 0.871

# 2
Density functional theory data (PBE) for crystalline GePd2Pt4 at its relaxed geometry.

Results
Final energy: -0.18462 hartree per atom
Energy above the lowest structure with this stoichiometry: 4.379 eV/f.u.

a = 4.681 Å, b = 4.681 Å, c = 7.127 Å
α = 70.83°, β = 70.83°, γ = 90.00°
Atoms (fractional coordinates):
Ge: 0.000 0.000 0.000
Pd: 0.611 0.611 0.777
Pd: 0.389 0.389 0.223
Pt: 0.814 0.814 0.373
Pt: 0.186 0.186 0.627
Pt: 0.000 0.500 0.000
Pt: 0.500 0.000 0.000

# 3
Density functional theory data (PBE) for crystalline Ge3Pd4Pt5 at its relaxed geometry.

Results
Final energy: -0.20812 hartree per atom

a = 4.833 Å, b = 7.199 Å, c = 6.734 Å
α = 115.97°, β = 112.95°, γ = 84.14°
Atoms (fractional coordinates):
Ge: 0.220 0.755 0.461
Ge: 0.500 0.500 0.000
Ge: 0.780 0.245 0.539
Pd: 0.969 0.080 0.845
Pd: 0.199 0.378 0.371
Pd: 0.801 0.622 0.629
Pd: 0.031 0.920 0.155
Pt: 0.346 0.154 0.642
Pt: 0.000 0.500 0.000
Pt: 0.405 0.787 0.871
Pt: 0.595 0.213 0.129
Pt: 0.654 0.846 0.358

# 4
Density functional theory data (PBE) for crystalline GePd2Pt at its relaxed geometry.

Results
Final energy: -0.20395 hartree per atom

a = 4.229 Å, b = 4.229 Å, c = 4.966 Å
α = 64.80°, β = 64.80°, γ = 60.00°
Atoms (fractional coordinates):
Ge: 0.815 0.815 0.555
Pd: 0.008 0.008 0.977
Pd: 0.230 0.230 0.309
Pt: 0.447 0.447 0.659

# 5
Density functional theory data (PBE) for crystalline Ge4Pd5Pt2 at its relaxed geometry.

Results
Final energy: -0.18721 hartree per atom

a = 2.877 Å, b = 6.786 Å, c = 12.146 Å
α = 106.22°, β = 96.80°, γ = 90.00°
Atoms (fractional coordinates):
Ge: 0.713 0.713 0.427
Ge: 0.000 0.305 0.000
Ge: 0.287 0.287 0.573
Ge: 0.000 0.695 0.000
Pd: 0.194 0.399 0.388
Pd: 0.806 0.601 0.612
Pd: 0.194 0.988 0.388
Pd: 0.500 0.000 0.000
Pd: 0.806 0.012 0.612
Pt: 0.096 0.096 0.192
Pt: 0.904 0.904 0.808

# 6
Density functional theory data (PBE) for crystalline GePdPt at its relaxed geometry.

Results
Final energy: -0.21238 hartree per atom

a = 3.738 Å, b = 6.618 Å, c = 6.618 Å
α = 120.00°, β = 90.00°, γ = 90.00°
Atoms (fractional coordinates):
Ge: 0.000 0.333 0.667
Ge: 0.000 0.667 0.333
Ge: 0.500 0.000 0.000
Pd: 0.500 0.398 0.398
Pd: 0.500 0.000 0.602
Pd: 0.500 0.602 0.000
Pt: 0.000 0.735 0.735
Pt: 0.000 0.000 0.265
Pt: 0.000 0.265 0.000

# 7
Density functional theory data (PBE) for crystalline Pu2Ge4Pd3Pt at its relaxed geometry.

Results
Final energy: -0.27487 hartree per atom

a = 4.324 Å, b = 4.324 Å, c = 10.185 Å
α = 90.00°, β = 90.00°, γ = 90.00°
Site moments in Bohr magnetons follow the coordinates.
Atoms (fractional coordinates):
Pu: 0.500 0.000 0.247  5.27
Pu: 0.000 0.500 0.753  5.27
Ge: 0.500 0.500 0.000  -0.02
Ge: 0.000 0.000 0.000  -0.02
Ge: 0.500 0.000 0.631  -0.01
Ge: 0.000 0.500 0.369  -0.01
Pd: 0.000 0.000 0.500  0.04
Pd: 0.500 0.000 0.871  -0.01
Pd: 0.000 0.500 0.129  -0.01
Pt: 0.500 0.500 0.500  0.03

# 8
Density functional theory data (PBE) for crystalline Pu4Ge2PdPt at its relaxed geometry.

Results
Final energy: -0.37357 hartree per atom

a = 5.025 Å, b = 5.025 Å, c = 8.669 Å
α = 73.15°, β = 73.15°, γ = 60.00°
Site moments in Bohr magnetons follow the coordinates.
Atoms (fractional coordinates):
Pu: 0.379 0.379 0.864  5.15
Pu: 0.872 0.872 0.384  5.21
Pu: 0.128 0.128 0.616  5.21
Pu: 0.621 0.621 0.136  5.15
Ge: 0.746 0.746 0.761  -0.18
Ge: 0.254 0.254 0.239  -0.18
Pd: 0.000 0.000 0.000  -0.09
Pt: 0.500 0.500 0.500  -0.17

Among the records above, which one has the lowest final energy?
Pu4Ge2PdPt